Entry 1:
! BaAlP2, optimized geometry, DFT PBE; values from VASP
&SYSTEM
  ibrav = 0, nat = 4, ntyp = 3
/
ATOMIC_SPECIES
Ba 137.33 Ba.upf
Al 26.98 Al.upf
P 30.97 P.upf
ATOMIC_POSITIONS angstrom
Ba 0.000 0.000 0.000
Al 2.094 0.000 2.967
P 0.000 0.000 4.209
P 2.094 0.000 8.464
CELL_PARAMETERS angstrom
4.188 0.000 0.000
0.000 1.891 6.965
0.000 -1.891 6.965
! Calculated total energy: -4.6556 eV/atom
! SG: Amm2

Entry 2:
! Pu2OsO11, optimized geometry, DFT PBE; values from VASP
&SYSTEM
  ibrav = 0, nat = 28, ntyp = 3
/
ATOMIC_SPECIES
Pu 244.00 Pu.upf
Os 190.23 Os.upf
O 16.00 O.upf
ATOMIC_POSITIONS angstrom
Pu 0.471 2.041 0.000
Pu 2.659 4.866 0.000
Pu -0.471 2.041 9.615
Pu 1.717 4.866 9.615
Os 2.188 0.000 4.807
Os 0.000 6.907 4.807
O 0.000 0.000 0.000
O 0.533 2.031 -1.768
O 1.200 -0.999 3.809
O 2.724 2.698 0.000
O 0.988 5.908 -3.809
O 0.533 2.031 1.768
O 2.721 4.876 -1.768
O 3.176 0.999 3.809
O 0.536 4.209 0.000
O 1.200 0.999 5.806
O 2.721 4.876 1.768
O 0.000 0.000 9.615
O -0.533 2.031 7.847
O 0.988 5.908 3.809
O 1.652 2.698 9.615
O -0.988 5.908 5.806
O -0.533 2.031 11.383
O 1.655 4.876 7.847
O 1.200 0.999 13.424
O -0.536 4.209 9.615
O 0.988 7.906 5.806
O 1.655 4.876 11.383
CELL_PARAMETERS angstrom
-2.188 6.907 9.615
2.188 -6.907 9.615
2.188 6.907 -9.615
! Calculated total energy: -8.4452 eV/atom
! SG: Ibam

Entry 3:
! Pm8Sm2Dy3, optimized geometry, DFT PBE; values from VASP
&SYSTEM
  ibrav = 0, nat = 13, ntyp = 3
/
ATOMIC_SPECIES
Pm 145.00 Pm.upf
Sm 150.36 Sm.upf
Dy 162.50 Dy.upf
ATOMIC_POSITIONS angstrom
Pm 8.120 2.271 5.701
Pm 3.508 0.000 2.853
Pm 12.442 2.271 0.001
Pm 7.595 0.000 2.852
Pm 12.967 0.000 2.849
Pm 8.120 -2.271 5.701
Pm 17.054 0.000 2.848
Pm 12.442 -2.271 0.001
Sm 5.343 0.000 0.004
Sm 15.218 0.000 5.697
Dy 10.281 2.210 2.851
Dy 10.283 0.000 0.000
Dy 10.281 -2.210 2.851
CELL_PARAMETERS angstrom
10.283 -3.858 0.000
10.283 3.858 0.000
-0.004 0.000 5.701
! Relative energy among the computed polymorphs: 194 meV/atom
! SG: C2/m

Entry 4:
! BaCdAg, optimized geometry, DFT PBE; values from VASP
&SYSTEM
  ibrav = 0, nat = 3, ntyp = 3
/
ATOMIC_SPECIES
Ba 137.33 Ba.upf
Cd 112.41 Cd.upf
Ag 107.87 Ag.upf
ATOMIC_POSITIONS angstrom
Ba 0.000 0.000 0.000
Cd 3.759 3.759 3.759
Ag 5.638 5.638 5.638
CELL_PARAMETERS angstrom
0.000 3.759 3.759
3.759 0.000 3.759
3.759 3.759 0.000
! Calculated total energy: -2.0571 eV/atom
! SG: F-43m

Entry 5:
! TmPuIn2, optimized geometry, DFT PBE; values from VASP
&SYSTEM
  ibrav = 0, nat = 4, ntyp = 3
/
ATOMIC_SPECIES
Tm 168.93 Tm.upf
Pu 244.00 Pu.upf
In 114.82 In.upf
ATOMIC_POSITIONS angstrom
Tm 0.000 0.000 0.000
Pu 0.000 0.000 4.711
In 1.649 1.649 2.300
In 1.649 1.649 7.122
CELL_PARAMETERS angstrom
3.298 0.000 0.000
0.000 3.298 0.000
0.000 0.000 9.421
! Calculated total energy: -6.3655 eV/atom
! SG: P4/mmm

Q: What is the formula in the third record?
A: Pm8Sm2Dy3